VASP calculation (meta-GGA SCAN) on a PBEsol-optimized structure of RbMnN3.

Lattice parameters (Å, degrees): 4.374 4.374 4.374 90.00 90.00 90.00
Fractional coordinates of all 5 atoms:
1 Rb 0.000 0.000 0.000
2 Mn 0.500 0.500 0.500
3 N 0.000 0.000 0.500
4 N 0.000 0.500 0.000
5 N 0.500 0.000 0.000

## Properties
Its space group is Pm-3m. As for the energy relative to the elements, uncorrected: 15.81 eV/f.u.